a | # La3SmAl

La3SmAl after structural relaxation (PBE, Alexandria).

Results
- crystal system = triclinic
- symmetry = P-1 (2)
- density of states at the Fermi level (states/eV per atom) = 1.3536

CIF file:
```
data_La3SmAl
_space_group_name_H-M_alt 'P 1'
_space_group_IT_number 1
_cell_length_a 3.698
_cell_length_b 9.385
_cell_length_c 9.741
_cell_angle_alpha 76.08
_cell_angle_beta 79.13
_cell_angle_gamma 89.98
loop_
_space_group_symop_operation_xyz
'x,y,z'
loop_
_atom_site_label
_atom_site_fract_x
_atom_site_fract_y
_atom_site_fract_z
La1 0.001 0.323 0.495
La2 0.188 0.362 0.125
La3 0.207 0.844 0.088
La4 0.793 0.156 0.912
La5 0.812 0.638 0.875
La6 0.999 0.677 0.505
Sm1 0.407 0.969 0.680
Sm2 0.593 0.031 0.320
Al1 0.379 0.424 0.741
Al2 0.621 0.576 0.259
```

=====

b | # La3SmAl

La3SmAl after structural relaxation (PBE, Alexandria).

Results
- crystal system = orthorhombic
- symmetry = Ama2 (40)
- density of states at the Fermi level (states/eV per atom) = 1.1220

CIF file:
```
data_La3SmAl
_space_group_name_H-M_alt 'P 1'
_space_group_IT_number 1
_cell_length_a 10.599
_cell_length_b 5.938
_cell_length_c 5.938
_cell_angle_alpha 114.40
_cell_angle_beta 90.00
_cell_angle_gamma 90.00
loop_
_space_group_symop_operation_xyz
'x,y,z'
loop_
_atom_site_label
_atom_site_fract_x
_atom_site_fract_y
_atom_site_fract_z
La1 0.068 0.194 0.806
La2 0.250 0.368 0.340
La3 0.432 0.194 0.806
La4 0.568 0.806 0.194
La5 0.750 0.340 0.368
La6 0.932 0.806 0.194
Sm1 0.250 0.726 0.979
Sm2 0.750 0.979 0.726
Al1 0.000 0.613 0.613
Al2 0.500 0.613 0.613
```

=====

The structure with the least stability is b.

=====

a | # LaSm2Al2

LaSm2Al2 after structural relaxation (PBE, Alexandria).

Results
- crystal system = orthorhombic
- symmetry = Cmmm (65)
- density of states at the Fermi level (states/eV per atom) = 0.9688

CIF file:
```
data_LaSm2Al2
_space_group_name_H-M_alt 'P 1'
_space_group_IT_number 1
_cell_length_a 4.535
_cell_length_b 16.746
_cell_length_c 3.642
_cell_angle_alpha 90.00
_cell_angle_beta 90.00
_cell_angle_gamma 90.00
loop_
_space_group_symop_operation_xyz
'x,y,z'
loop_
_atom_site_label
_atom_site_fract_x
_atom_site_fract_y
_atom_site_fract_z
La1 0.000 0.000 0.000
La2 0.500 0.500 0.000
Sm1 0.000 0.367 0.500
Sm2 0.000 0.633 0.500
Sm3 0.500 0.133 0.500
Sm4 0.500 0.867 0.500
Al1 0.000 0.205 0.000
Al2 0.000 0.795 0.000
Al3 0.500 0.295 0.000
Al4 0.500 0.705 0.000
```

=====

b | # LaSm2Al2

LaSm2Al2 after structural relaxation (PBE, Alexandria).

Results
- crystal system = monoclinic
- symmetry = P2_1/m (11)
- density of states at the Fermi level (states/eV per atom) = 1.0397

CIF file:
```
data_LaSm2Al2
_space_group_name_H-M_alt 'P 1'
_space_group_IT_number 1
_cell_length_a 5.756
_cell_length_b 3.805
_cell_length_c 13.512
_cell_angle_alpha 90.00
_cell_angle_beta 96.32
_cell_angle_gamma 90.00
loop_
_space_group_symop_operation_xyz
'x,y,z'
loop_
_atom_site_label
_atom_site_fract_x
_atom_site_fract_y
_atom_site_fract_z
La1 0.179 0.250 0.233
La2 0.821 0.750 0.767
Sm1 0.240 0.750 0.461
Sm2 0.353 0.250 0.889
Sm3 0.647 0.750 0.111
Sm4 0.760 0.250 0.539
Al1 0.140 0.750 0.036
Al2 0.290 0.250 0.657
Al3 0.710 0.750 0.343
Al4 0.860 0.250 0.964
```

=====

The structure with the least stability is b.

=====

a | # LaSm3Al8

LaSm3Al8 after structural relaxation (PBE, Alexandria).

Results
- crystal system = trigonal
- symmetry = P3m1 (156)
- density of states at the Fermi level (states/eV per atom) = 0.5224

CIF file:
```
data_LaSm3Al8
_space_group_name_H-M_alt 'P 1'
_space_group_IT_number 1
_cell_length_a 5.659
_cell_length_b 5.659
_cell_length_c 9.320
_cell_angle_alpha 90.00
_cell_angle_beta 90.00
_cell_angle_gamma 120.00
loop_
_space_group_symop_operation_xyz
'x,y,z'
loop_
_atom_site_label
_atom_site_fract_x
_atom_site_fract_y
_atom_site_fract_z
La1 0.000 0.000 0.000
Sm1 0.000 0.000 0.362
Sm2 0.667 0.333 0.499
Sm3 0.667 0.333 0.864
Al1 0.162 0.324 0.679
Al2 0.162 0.838 0.679
Al3 0.333 0.667 0.434
Al4 0.333 0.667 0.931
Al5 0.505 0.009 0.185
Al6 0.505 0.495 0.185
Al7 0.676 0.838 0.679
Al8 0.991 0.495 0.185
```

=====

b | # LaSm3Al8

LaSm3Al8 after structural relaxation (PBE, Alexandria).

Results
- crystal system = trigonal
- symmetry = R3m (160)
- density of states at the Fermi level (states/eV per atom) = 0.7870

CIF file:
```
data_LaSm3Al8
_space_group_name_H-M_alt 'P 1'
_space_group_IT_number 1
_cell_length_a 9.835
_cell_length_b 9.835
_cell_length_c 9.835
_cell_angle_alpha 33.46
_cell_angle_beta 33.46
_cell_angle_gamma 33.46
loop_
_space_group_symop_operation_xyz
'x,y,z'
loop_
_atom_site_label
_atom_site_fract_x
_atom_site_fract_y
_atom_site_fract_z
La1 0.000 0.000 0.000
Sm1 0.125 0.125 0.125
Sm2 0.500 0.500 0.500
Sm3 0.625 0.625 0.625
Al1 0.062 0.062 0.561
Al2 0.062 0.561 0.062
Al3 0.064 0.563 0.563
Al4 0.312 0.312 0.312
Al5 0.561 0.062 0.062
Al6 0.563 0.064 0.563
Al7 0.563 0.563 0.064
Al8 0.813 0.813 0.813
```

=====

The structure with the least stability is a.

=====

a | # LaTbSmAl

LaTbSmAl after structural relaxation (PBE, Alexandria).

Results
- crystal system = cubic
- symmetry = F-43m (216)
- density of states at the Fermi level (states/eV per atom) = 1.8442

CIF file:
```
data_LaTbSmAl
_space_group_name_H-M_alt 'P 1'
_space_group_IT_number 1
_cell_length_a 7.755
_cell_length_b 7.755
_cell_length_c 7.755
_cell_angle_alpha 90.00
_cell_angle_beta 90.00
_cell_angle_gamma 90.00
loop_
_space_group_symop_operation_xyz
'x,y,z'
loop_
_atom_site_label
_atom_site_fract_x
_atom_site_fract_y
_atom_site_fract_z
La1 0.000 0.000 0.000
La2 0.000 0.500 0.500
La3 0.500 0.000 0.500
La4 0.500 0.500 0.000
Tb1 0.250 0.250 0.750
Tb2 0.250 0.750 0.250
Tb3 0.750 0.250 0.250
Tb4 0.750 0.750 0.750
Sm1 0.000 0.000 0.500
Sm2 0.000 0.500 0.000
Sm3 0.500 0.000 0.000
Sm4 0.500 0.500 0.500
Al1 0.250 0.250 0.250
Al2 0.250 0.750 0.750
Al3 0.750 0.250 0.750
Al4 0.750 0.750 0.250
```

=====

b | # LaTbSmAl

LaTbSmAl after structural relaxation (PBE, Alexandria).

Results
- crystal system = tetragonal
- symmetry = P4mm (99)
- density of states at the Fermi level (states/eV per atom) = 1.0010

CIF file:
```
data_LaTbSmAl
_space_group_name_H-M_alt 'P 1'
_space_group_IT_number 1
_cell_length_a 3.575
_cell_length_b 3.575
_cell_length_c 9.294
_cell_angle_alpha 90.00
_cell_angle_beta 90.00
_cell_angle_gamma 90.00
loop_
_space_group_symop_operation_xyz
'x,y,z'
loop_
_atom_site_label
_atom_site_fract_x
_atom_site_fract_y
_atom_site_fract_z
La1 0.000 0.000 0.000
Tb1 0.500 0.500 0.288
Sm1 0.500 0.500 0.703
Al1 0.000 0.000 0.492
```

=====

The structure with the least stability is a.

=====

a | # LaSmAlTl

LaSmAlTl after structural relaxation (PBE, Alexandria).

Results
- crystal system = tetragonal
- symmetry = P4mm (99)
- density of states at the Fermi level (states/eV per atom) = 0.5034

CIF file:
```
data_LaSmAlTl
_space_group_name_H-M_alt 'P 1'
_space_group_IT_number 1
_cell_length_a 3.787
_cell_length_b 3.787
_cell_length_c 7.870
_cell_angle_alpha 90.00
_cell_angle_beta 90.00
_cell_angle_gamma 90.00
loop_
_space_group_symop_operation_xyz
'x,y,z'
loop_
_atom_site_label
_atom_site_fract_x
_atom_site_fract_y
_atom_site_fract_z
La1 0.000 0.000 0.000
Sm1 0.000 0.000 0.472
Al1 0.500 0.500 0.246
Tl1 0.500 0.500 0.722
```

=====

b | # LaSmAlTl

LaSmAlTl after structural relaxation (PBE, Alexandria).

Results
- crystal system = cubic
- symmetry = F-43m (216)
- density of states at the Fermi level (states/eV per atom) = 0.5107

CIF file:
```
data_LaSmAlTl
_space_group_name_H-M_alt 'P 1'
_space_group_IT_number 1
_cell_length_a 7.691
_cell_length_b 7.691
_cell_length_c 7.691
_cell_angle_alpha 90.00
_cell_angle_beta 90.00
_cell_angle_gamma 90.00
loop_
_space_group_symop_operation_xyz
'x,y,z'
loop_
_atom_site_label
_atom_site_fract_x
_atom_site_fract_y
_atom_site_fract_z
La1 0.000 0.000 0.000
La2 0.000 0.500 0.500
La3 0.500 0.000 0.500
La4 0.500 0.500 0.000
Sm1 0.000 0.000 0.500
Sm2 0.000 0.500 0.000
Sm3 0.500 0.000 0.000
Sm4 0.500 0.500 0.500
Al1 0.250 0.250 0.750
Al2 0.250 0.750 0.250
Al3 0.750 0.250 0.250
Al4 0.750 0.750 0.750
Tl1 0.250 0.250 0.250
Tl2 0.250 0.750 0.750
Tl3 0.750 0.250 0.750
Tl4 0.750 0.750 0.250
```

=====

The structure with the least stability is b.

=====

a | # LaSmYAl

LaSmYAl after structural relaxation (PBE, Alexandria).

Results
- crystal system = cubic
- symmetry = F-43m (216)
- density of states at the Fermi level (states/eV per atom) = 1.8135

CIF file:
```
data_LaSmYAl
_space_group_name_H-M_alt 'P 1'
_space_group_IT_number 1
_cell_length_a 7.766
_cell_length_b 7.766
_cell_length_c 7.766
_cell_angle_alpha 90.00
_cell_angle_beta 90.00
_cell_angle_gamma 90.00
loop_
_space_group_symop_operation_xyz
'x,y,z'
loop_
_atom_site_label
_atom_site_fract_x
_atom_site_fract_y
_atom_site_fract_z
La1 0.000 0.000 0.000
La2 0.000 0.500 0.500
La3 0.500 0.000 0.500
La4 0.500 0.500 0.000
Sm1 0.000 0.000 0.500
Sm2 0.000 0.500 0.000
Sm3 0.500 0.000 0.000
Sm4 0.500 0.500 0.500
Y1 0.250 0.250 0.250
Y2 0.250 0.750 0.750
Y3 0.750 0.250 0.750
Y4 0.750 0.750 0.250
Al1 0.250 0.250 0.750
Al2 0.250 0.750 0.250
Al3 0.750 0.250 0.250
Al4 0.750 0.750 0.750
```

=====

b | # LaSmYAl

LaSmYAl after structural relaxation (PBE, Alexandria).

Results
- crystal system = tetragonal
- symmetry = P4mm (99)
- density of states at the Fermi level (states/eV per atom) = 0.9994

CIF file:
```
data_LaSmYAl
_space_group_name_H-M_alt 'P 1'
_space_group_IT_number 1
_cell_length_a 3.575
_cell_length_b 3.575
_cell_length_c 9.295
_cell_angle_alpha 90.00
_cell_angle_beta 90.00
_cell_angle_gamma 90.00
loop_
_space_group_symop_operation_xyz
'x,y,z'
loop_
_atom_site_label
_atom_site_fract_x
_atom_site_fract_y
_atom_site_fract_z
La1 0.000 0.000 0.000
Sm1 0.500 0.500 0.703
Y1 0.500 0.500 0.290
Al1 0.000 0.000 0.492
```

=====

The structure with the least stability is a.